Entry 1:
CeV2Si2C (GGA-PBE, optimized geometry); E_form (uncorrected) = -640 meV/atom
1.0
4.060 0.000 0.000
0.000 4.060 0.000
0.000 0.000 5.408
V Ce Si C
2 1 2 1
Direct
0.500 0.000 0.000 V
0.000 0.500 0.000 V
0.000 0.000 0.500 Ce
0.500 0.500 0.280 Si
0.500 0.500 0.720 Si
0.000 0.000 0.000 C

---

Entry 2:
Ce2SmC (GGA-PBE, optimized geometry); ΔH_f (0 K) = -0.26 eV per formula unit
1.0
3.560 0.000 0.000
1.780 3.083 0.000
1.780 1.028 9.117
C Ce Sm
1 2 1
Direct
0.667 0.667 0.999 C
0.052 0.052 0.845 Ce
0.280 0.280 0.161 Ce
0.502 0.502 0.495 Sm

---

Entry 3:
CeSmC (GGA-PBE, optimized geometry); ΔH_f (0 K) = -0.43 eV per formula unit
1.0
-3.066 -0.666 -1.756
-3.087 -0.291 1.820
-3.064 6.055 -0.629
Sm C Ce
1 1 1
Direct
0.147 0.279 0.426 Sm
0.406 0.535 0.654 C
0.671 0.797 0.860 Ce

---

Entry 4:
Ce4Sm2C (GGA-PBE, optimized geometry); ΔH_f (0 K) = 1.21 eV per formula unit
1.0
4.948 0.000 0.000
0.000 4.948 0.000
2.474 2.474 8.337
Sm C Ce
2 1 4
Direct
0.659 0.659 0.682 Sm
0.341 0.341 0.318 Sm
0.000 0.000 0.000 C
0.858 0.858 0.284 Ce
0.142 0.142 0.716 Ce
0.000 0.500 0.000 Ce
0.500 0.000 0.000 Ce

---

Entry 5:
CeSm3C2 (GGA-PBE, optimized geometry); ΔH_f (0 K) = -0.90 eV per formula unit
1.0
-0.897 1.287 -3.270
1.148 -6.863 -5.027
-9.742 -1.659 0.008
C Sm Ce
4 6 2
Direct
0.377 0.875 0.371 C
0.878 0.374 0.870 C
0.122 0.626 0.130 C
0.623 0.125 0.629 C
0.059 0.079 0.803 Sm
0.694 0.664 0.947 Sm
0.189 0.168 0.453 Sm
0.306 0.336 0.053 Sm
0.811 0.832 0.547 Sm
0.941 0.921 0.197 Sm
0.444 0.410 0.702 Ce
0.556 0.590 0.298 Ce

---

Entry 6:
Ce2SmC (GGA-PBE, optimized geometry); ΔH_f (0 K) = -0.16 eV per formula unit
1.0
3.541 0.000 0.000
1.770 3.066 0.000
1.770 1.022 9.408
Sm C Ce
1 1 2
Direct
0.000 0.000 0.000 Sm
0.500 0.500 0.500 C
0.218 0.218 0.346 Ce
0.782 0.782 0.654 Ce

---

Entry 7:
Ce2Sm4C (GGA-PBE, optimized geometry); ΔH_f (0 K) = 1.93 eV per formula unit
1.0
-0.417 3.844 3.098
2.145 -2.660 3.588
8.727 3.497 0.796
Sm Ce C
4 2 1
Direct
0.860 0.860 0.280 Sm
0.500 0.000 0.000 Sm
0.140 0.140 0.720 Sm
0.000 0.500 0.000 Sm
0.683 0.683 0.635 Ce
0.317 0.317 0.365 Ce
0.000 0.000 0.000 C

---

Entry 8:
Ce3SmC8 (GGA-PBE, optimized geometry); ΔH_f (0 K) = 1.45 eV per formula unit
1.0
6.370 0.000 1.251
-3.111 4.662 2.619
0.147 0.000 6.490
Ce C Sm
3 8 1
Direct
0.498 0.000 0.502 Ce
0.293 0.500 0.207 Ce
0.793 0.500 0.707 Ce
0.405 0.000 0.926 C
0.907 0.328 0.093 C
0.074 0.000 0.595 C
0.351 0.000 0.135 C
0.580 0.672 0.420 C
0.121 0.512 0.879 C
0.865 0.000 0.649 C
0.609 0.488 0.391 C
0.003 0.000 0.997 Sm

---

Entry 9:
CeSmC (GGA-PBE, optimized geometry); ΔH_f (0 K) = -0.42 eV per formula unit
1.0
3.587 0.000 0.000
-1.793 3.106 0.000
0.000 0.000 6.497
C Sm Ce
1 1 1
Direct
0.667 0.333 0.342 C
0.000 0.000 0.112 Sm
0.333 0.667 0.546 Ce

---

Entry 10:
CeSmC (GGA-PBE, optimized geometry); ΔH_f (0 K) = 0.65 eV per formula unit
1.0
3.212 0.000 0.000
0.000 3.212 0.000
-1.606 -1.606 6.132
Ce C Sm
1 1 1
Direct
0.721 0.721 0.442 Ce
0.329 0.329 0.659 C
0.949 0.949 0.899 Sm

---

Entry 11:
CeSm3C (GGA-PBE, optimized geometry); ΔH_f (0 K) = 0.79 eV per formula unit
1.0
-4.187 -0.118 -3.025
-0.334 -5.113 0.662
-3.008 0.732 4.136
C Sm Ce
1 3 1
Direct
0.000 0.000 0.000 C
0.500 0.000 0.000 Sm
0.000 0.500 0.000 Sm
0.000 0.000 0.500 Sm
0.500 0.500 0.500 Ce

---

Entry 12:
CeSmC (GGA-PBE, optimized geometry); ΔH_f (0 K) = 0.26 eV per formula unit
1.0
3.541 0.000 0.015
0.000 3.294 0.000
-0.025 -1.647 5.829
Sm Ce C
1 1 1
Direct
0.512 0.122 0.244 Sm
0.012 0.356 0.712 Ce
0.512 0.791 0.582 C